Entry 1:
# Co3P2O14 | Alexandria via LeMat-Bulk | PBE with a Hubbard U | relaxed
data_Co3P2O14
_chemical_formula_sum 'Co6 P4 O28'
_symmetry_space_group_name_H-M 'I 4/m'
_symmetry_Int_Tables_number 87
_symmetry_space_group_name_Hall '-I 4'
_cell_length_a 6.1865
_cell_length_b 6.1865
_cell_length_c 12.5896
_cell_angle_alpha 90.00
_cell_angle_beta 90.00
_cell_angle_gamma 90.00
loop_
_atom_site_label
_atom_site_fract_x
_atom_site_fract_y
_atom_site_fract_z
Co1 0.0000 0.0000 0.0000
Co2 0.0000 0.0000 0.2894
P1 0.0000 0.5000 0.2500
O1 0.0000 0.0000 0.1554
O2 0.9996 0.3026 0.3258
O3 0.2007 0.7979 0.0000
# ρ: 3.2 g/cm3
# V: 481.8 Å³/cell
# M_tot: 26.5 μB/cell
# calculated total energy: -216.90 eV/cell
# crystal system: tetragonal

Entry 2:
# CoP3O | Alexandria via LeMat-Bulk | PBE with a Hubbard U | relaxed
data_CoP3O
_chemical_formula_sum 'Co1 P3 O1'
_symmetry_space_group_name_H-M 'P m -3 m'
_symmetry_Int_Tables_number 221
_symmetry_space_group_name_Hall '-P 4 2 3'
_cell_length_a 4.2219
_cell_length_b 4.2219
_cell_length_c 4.2219
_cell_angle_alpha 90.00
_cell_angle_beta 90.00
_cell_angle_gamma 90.00
loop_
_atom_site_label
_atom_site_fract_x
_atom_site_fract_y
_atom_site_fract_z
Co1 0.0000 0.0000 0.0000
P1 0.0000 0.0000 0.5000
O1 0.5000 0.5000 0.5000
# ρ: 3.7 g/cm3
# V: 75.3 Å³/cell
# M_tot: 0.0 μB/cell
# crystal system: cubic
# energy relative to the lowest polymorph listed for this composition: 11.0 kJ/mol of atoms

Entry 3:
# CoP4O12 | Alexandria via LeMat-Bulk | PBE with a Hubbard U | relaxed
data_CoP4O12
_chemical_formula_sum 'Co4 P16 O48'
_symmetry_space_group_name_H-M 'C 1 2/c 1'
_symmetry_Int_Tables_number 15
_cell_length_a 13.4829
_cell_length_b 7.5466
_cell_length_c 9.4091
_cell_angle_alpha 90.00
_cell_angle_beta 111.17
_cell_angle_gamma 90.00
loop_
_symmetry_equiv_pos_as_xyz
'x,y,z'
'-x,-y,-z'
'-x,y,-z+1/2'
'x,-y,z+1/2'
'x+1/2,y+1/2,z'
'-x+1/2,-y+1/2,-z'
'-x+1/2,y+1/2,-z+1/2'
'x+1/2,-y+1/2,z+1/2'
loop_
_atom_site_label
_atom_site_fract_x
_atom_site_fract_y
_atom_site_fract_z
Co1 0.2500 0.2500 0.0000
P1 0.0381 0.2469 0.0697
P2 0.1605 0.4218 0.6346
O1 0.0545 0.1030 0.1874
O2 0.0761 0.4375 0.1535
O3 0.0865 0.2785 0.5161
O4 0.0937 0.2152 0.9583
O5 0.2163 0.3311 0.7821
O6 0.2293 0.4916 0.0576
# ρ: 2.8 g/cm3
# V: 892.8 Å³/cell
# M_tot: 19.9 μB/cell
# crystal system: monoclinic
# energy relative to the lowest polymorph listed for this composition: 0.4 kJ/mol of atoms

Entry 4:
# Co3PO | Alexandria via LeMat-Bulk | PBE with a Hubbard U | relaxed
data_Co3PO
_chemical_formula_sum 'Co3 P1 O1'
_symmetry_space_group_name_H-M 'P m -3 m'
_symmetry_Int_Tables_number 221
_symmetry_space_group_name_Hall '-P 4 2 3'
_cell_length_a 3.9355
_cell_length_b 3.9355
_cell_length_c 3.9355
_cell_angle_alpha 90.00
_cell_angle_beta 90.00
_cell_angle_gamma 90.00
loop_
_atom_site_label
_atom_site_fract_x
_atom_site_fract_y
_atom_site_fract_z
Co1 0.0000 0.0000 0.5000
P1 0.5000 0.5000 0.5000
O1 0.0000 0.0000 0.0000
# ρ: 6.1 g/cm3
# V: 61.0 Å³/cell
# M_tot: 5.5 μB/cell
# crystal system: cubic
# energy relative to the lowest polymorph listed for this composition: 0.0 kJ/mol of atoms

Entry 5:
# CoP2O7 | Alexandria via LeMat-Bulk | PBE with a Hubbard U | relaxed
data_CoP2O7
_chemical_formula_sum 'Co4 P8 O28'
_symmetry_space_group_name_H-M 'P -1'
_symmetry_Int_Tables_number 2
_cell_length_a 6.3271
_cell_length_b 6.4292
_cell_length_c 13.2053
_cell_angle_alpha 101.09
_cell_angle_beta 101.38
_cell_angle_gamma 98.81
loop_
_symmetry_equiv_pos_as_xyz
'x,y,z'
'-x,-y,-z'
loop_
_atom_site_label
_atom_site_fract_x
_atom_site_fract_y
_atom_site_fract_z
Co1 0.2242 0.0840 0.3498
Co2 0.2649 0.6278 0.8537
P1 0.1054 0.5857 0.3657
P2 0.2199 0.2399 0.1358
P3 0.2372 0.9129 0.5669
P4 0.3443 0.1689 0.9308
O1 0.0277 0.3599 0.1264
O2 0.0919 0.6964 0.4833
O3 0.0972 0.9770 0.6449
O4 0.1340 0.5084 0.6968
O5 0.1873 0.0678 0.2007
O6 0.2107 0.1104 0.0176
O7 0.2154 0.7628 0.3198
O8 0.2309 0.4035 0.3738
O9 0.2349 0.3250 0.8762
O10 0.2782 0.0869 0.5033
O11 0.3269 0.9524 0.8543
O12 0.4163 0.7285 0.0106
O13 0.4473 0.3898 0.1751
O14 0.4480 0.8582 0.6213
# ρ: 3.1 g/cm3
# V: 506.5 Å³/cell
# M_tot: 20.2 μB/cell
# crystal system: triclinic
# energy relative to the lowest polymorph listed for this composition: 2.4 kJ/mol of atoms

Entry 6:
# CoPO4 | Alexandria via LeMat-Bulk | PBE with a Hubbard U | relaxed
data_CoPO4
_chemical_formula_sum 'Co4 P4 O16'
_symmetry_space_group_name_H-M 'C 1 c 1'
_symmetry_Int_Tables_number 9
_cell_length_a 8.6445
_cell_length_b 5.3255
_cell_length_c 8.9262
_cell_angle_alpha 90.00
_cell_angle_beta 107.97
_cell_angle_gamma 90.00
loop_
_symmetry_equiv_pos_as_xyz
'x,y,z'
'x,-y,z+1/2'
'x+1/2,y+1/2,z'
'x+1/2,-y+1/2,z+1/2'
loop_
_atom_site_label
_atom_site_fract_x
_atom_site_fract_y
_atom_site_fract_z
Co1 0.0000 0.2184 0.0000
P1 0.1214 0.2904 0.3711
O1 0.0002 0.2954 0.2021
O2 0.0563 0.1083 0.4731
O3 0.1379 0.4448 0.9462
O4 0.2913 0.2107 0.3636
# ρ: 2.6 g/cm3
# V: 390.9 Å³/cell
# M_tot: 15.8 μB/cell
# calculated total energy: -161.79 eV/cell
# crystal system: monoclinic

Entry 7:
# CoPO4 | Alexandria via LeMat-Bulk | PBE with a Hubbard U | relaxed
data_CoPO4
_chemical_formula_sum 'Co8 P8 O32'
_symmetry_space_group_name_H-M 'P 1 21/c 1'
_symmetry_Int_Tables_number 14
_cell_length_a 8.7603
_cell_length_b 5.5589
_cell_length_c 18.1703
_cell_angle_alpha 90.00
_cell_angle_beta 90.71
_cell_angle_gamma 90.00
loop_
_symmetry_equiv_pos_as_xyz
'x,y,z'
'-x,-y,-z'
'-x,y+1/2,-z+1/2'
'x,-y+1/2,z+1/2'
loop_
_atom_site_label
_atom_site_fract_x
_atom_site_fract_y
_atom_site_fract_z
Co1 0.0806 0.2321 0.0907
Co2 0.4005 0.2393 0.8367
P1 0.0738 0.2371 0.4104
P2 0.4089 0.2468 0.6620
O1 0.0065 0.5197 0.1268
O2 0.0216 0.0310 0.8697
O3 0.0260 0.2492 0.9917
O4 0.2492 0.2107 0.4056
O5 0.2889 0.1830 0.1024
O6 0.3353 0.2253 0.2387
O7 0.4511 0.5845 0.3449
O8 0.4573 0.5172 0.1488
# ρ: 2.3 g/cm3
# V: 884.8 Å³/cell
# M_tot: 32.4 μB/cell
# calculated total energy: -322.77 eV/cell
# crystal system: monoclinic

Entry 8:
# Co2P3O10 | Alexandria via LeMat-Bulk | PBE with a Hubbard U | relaxed
data_Co2P3O10
_chemical_formula_sum 'Co4 P6 O20'
_symmetry_space_group_name_H-M 'P 1 21/m 1'
_symmetry_Int_Tables_number 11
_cell_length_a 4.7122
_cell_length_b 8.4499
_cell_length_c 8.9508
_cell_angle_alpha 90.00
_cell_angle_beta 98.50
_cell_angle_gamma 90.00
loop_
_symmetry_equiv_pos_as_xyz
'x,y,z'
'-x,-y,-z'
'-x,y+1/2,-z'
'x,-y+1/2,z'
loop_
_atom_site_label
_atom_site_fract_x
_atom_site_fract_y
_atom_site_fract_z
Co1 0.0515 0.0702 0.3297
P1 0.3311 0.2500 0.8126
P2 0.3887 0.7500 0.4607
P3 0.4738 0.2500 0.1490
O1 0.1693 0.0977 0.7882
O2 0.2141 0.7500 0.7657
O3 0.2255 0.5972 0.4890
O4 0.3007 0.2500 0.4536
O5 0.3128 0.0990 0.1794
O6 0.4071 0.7500 0.2841
O7 0.4779 0.7500 0.0244
# ρ: 3.5 g/cm3
# V: 352.5 Å³/cell
# M_tot: 14.0 μB/cell
# crystal system: monoclinic
# energy relative to the lowest polymorph listed for this composition: 0.9 kJ/mol of atoms

Entry 9:
# CoP2O7 | Alexandria via LeMat-Bulk | PBE with a Hubbard U | relaxed
data_CoP2O7
_chemical_formula_sum 'Co4 P8 O28'
_symmetry_space_group_name_H-M 'P 1 21/c 1'
_symmetry_Int_Tables_number 14
_cell_length_a 7.1126
_cell_length_b 7.8719
_cell_length_c 9.0224
_cell_angle_alpha 90.00
_cell_angle_beta 109.95
_cell_angle_gamma 90.00
loop_
_symmetry_equiv_pos_as_xyz
'x,y,z'
'-x,-y,-z'
'-x,y+1/2,-z+1/2'
'x,-y+1/2,z+1/2'
loop_
_atom_site_label
_atom_site_fract_x
_atom_site_fract_y
_atom_site_fract_z
Co1 0.2357 0.0085 0.2520
P1 0.1699 0.6995 0.4398
P2 0.4303 0.2392 0.5599
O1 0.0264 0.5884 0.3104
O2 0.1582 0.6081 0.9098
O3 0.1636 0.6751 0.6076
O4 0.2741 0.1477 0.0912
O5 0.3387 0.1918 0.3842
O6 0.3828 0.6397 0.4300
O7 0.4963 0.5902 0.8234
# ρ: 3.3 g/cm3
# V: 474.8 Å³/cell
# M_tot: 4.2 μB/cell
# crystal system: monoclinic
# energy relative to the lowest polymorph listed for this composition: 2.6 kJ/mol of atoms

Entry 10:
# Co3P4O16 | Alexandria via LeMat-Bulk | PBE with a Hubbard U | relaxed
data_Co3P4O16
_chemical_formula_sum 'Co6 P8 O32'
_symmetry_space_group_name_H-M 'P 1 21/c 1'
_symmetry_Int_Tables_number 14
_cell_length_a 8.3045
_cell_length_b 5.1745
_cell_length_c 16.0537
_cell_angle_alpha 90.00
_cell_angle_beta 112.01
_cell_angle_gamma 90.00
loop_
_symmetry_equiv_pos_as_xyz
'x,y,z'
'-x,-y,-z'
'-x,y+1/2,-z+1/2'
'x,-y+1/2,z+1/2'
loop_
_atom_site_label
_atom_site_fract_x
_atom_site_fract_y
_atom_site_fract_z
Co1 0.0000 0.0000 0.0000
Co2 0.3240 0.1469 0.3004
P1 0.0145 0.0091 0.6420
P2 0.4251 0.1125 0.1209
O1 0.0330 0.7346 0.9261
O2 0.0511 0.7360 0.0987
O3 0.1419 0.0263 0.3290
O4 0.1763 0.0729 0.7253
O5 0.2558 0.1001 0.0388
O6 0.3980 0.0581 0.2099
O7 0.4524 0.1046 0.8884
O8 0.4822 0.6307 0.8783
# ρ: 2.9 g/cm3
# V: 639.6 Å³/cell
# M_tot: 30.2 μB/cell
# crystal system: monoclinic
# energy relative to the lowest polymorph listed for this composition: 0.0 kJ/mol of atoms

Entry 11:
# Co3P4O14 | Alexandria via LeMat-Bulk | PBE with a Hubbard U | relaxed
data_Co3P4O14
_chemical_formula_sum 'Co6 P8 O28'
_symmetry_space_group_name_H-M 'P 1'
_symmetry_Int_Tables_number 1
_cell_length_a 7.1619
_cell_length_b 9.4015
_cell_length_c 9.5009
_cell_angle_alpha 104.67
_cell_angle_beta 101.72
_cell_angle_gamma 94.47
loop_
_symmetry_equiv_pos_as_xyz
'x,y,z'
loop_
_atom_site_label
_atom_site_fract_x
_atom_site_fract_y
_atom_site_fract_z
Co1 0.0000 0.0000 0.0000
Co2 0.0000 0.5001 0.5000
Co3 0.0453 0.0371 0.6850
Co4 0.0446 0.5369 0.1848
Co5 0.5221 0.0185 0.3421
Co6 0.5229 0.5186 0.8428
P1 0.1908 0.8183 0.4441
P2 0.1927 0.3183 0.9444
P3 0.2155 0.7326 0.9785
P4 0.2169 0.2331 0.4788
P5 0.8277 0.8039 0.2059
P6 0.8298 0.3045 0.7065
P7 0.8526 0.7188 0.7405
P8 0.8539 0.2187 0.2407
O1 0.0182 0.8709 0.3414
O2 0.0225 0.3712 0.8400
O3 0.0233 0.6659 0.8446
O4 0.0260 0.1661 0.3438
O5 0.1484 0.6443 0.3991
O6 0.1496 0.1443 0.8992
O7 0.1654 0.3783 0.1055
O8 0.1658 0.8784 0.6059
O9 0.1891 0.6731 0.1089
O10 0.1899 0.1730 0.6088
O11 0.2218 0.4056 0.5230
O12 0.2215 0.9052 0.0226
O13 0.3796 0.8785 0.4236
O14 0.3829 0.3788 0.9261
O15 0.3833 0.6858 0.9141
O16 0.3862 0.1874 0.4157
O17 0.6581 0.8496 0.2685
O18 0.6624 0.3513 0.7715
O19 0.6627 0.6583 0.7593
O20 0.6648 0.1586 0.2608
O21 0.8228 0.6314 0.1617
O22 0.8238 0.1320 0.6625
O23 0.8555 0.3640 0.5759
O24 0.8555 0.8640 0.0761
O25 0.8794 0.1586 0.0791
O26 0.8793 0.6588 0.5793
O27 0.8963 0.3927 0.2857
O28 0.8956 0.8928 0.7858
# ρ: 2.9 g/cm3
# V: 600.3 Å³/cell
# M_tot: 10.0 μB/cell
# calculated total energy: -285.67 eV/cell
# crystal system: triclinic

Entry 12:
# CoPO4 | Alexandria via LeMat-Bulk | PBE with a Hubbard U | relaxed
data_CoPO4
_chemical_formula_sum 'Co4 P4 O16'
_symmetry_space_group_name_H-M 'P -1'
_symmetry_Int_Tables_number 2
_cell_length_a 5.8548
_cell_length_b 6.4018
_cell_length_c 9.2996
_cell_angle_alpha 75.01
_cell_angle_beta 77.76
_cell_angle_gamma 80.35
loop_
_symmetry_equiv_pos_as_xyz
'x,y,z'
'-x,-y,-z'
loop_
_atom_site_label
_atom_site_fract_x
_atom_site_fract_y
_atom_site_fract_z
Co1 0.1643 0.1037 0.1932
Co2 0.2870 0.1809 0.5567
P1 0.1665 0.7287 0.5043
P2 0.3139 0.8942 0.8820
O1 0.0795 0.2316 0.3923
O2 0.1003 0.8255 0.3430
O3 0.1309 0.7661 0.8534
O4 0.2523 0.9368 0.0392
O5 0.2637 0.4921 0.5252
O6 0.3272 0.1118 0.7559
O7 0.3524 0.8599 0.5302
O8 0.4372 0.2382 0.1436
# ρ: 3.1 g/cm3
# V: 326.7 Å³/cell
# M_tot: 0.0 μB/cell
# calculated total energy: -160.52 eV/cell
# crystal system: triclinic